Density functional theory data (PBE-GGA) for a relaxed Cs4RbHg crystal.

Cell lengths 13.2771, 18.4803, 8.8380 Å; angles 90.00, 107.85, 90.00 degrees
With the nearest neighbours (Å) after each atom.
Space group C2/c (No. 15)
Asymmetric unit:
Cs 0.1041 0.1636 0.0577 (multiplicity 8)  2 Hg 3.96-3.98
Cs 0.2393 0.4114 0.3744 (multiplicity 8)  2 Hg 4.25-4.34
Rb 0.0000 0.3853 0.7500 (multiplicity 4)  8 Cs 4.83-5.27
Hg 0.0000 0.0029 0.7500 (multiplicity 4)  8 Cs 3.96-4.34, 2 Hg 4.42

Computed properties:
ΔH_f (0 K): -72 meV/atom
Excess energy over the best structure of this formula in the dataset: 0.014 eV per atom
Final energy: -0.8525 eV/atom